[1]
DFT (PBE) results for Cs2Ga2Pt after structural relaxation.

## Properties
Magnetization, Bohr magnetons per cell: 0.234
E_tot, eV/atom: -3.078
Calculated formation energy, meV per atom: -317.8
Crystal system: trigonal
Relative energy among the computed polymorphs, eV per atom: 0.000

POSCAR file:
```
Cs2Ga2Pt
1.0
-1.110 3.660 2.191
-1.492 -0.275 4.139
9.885 2.034 6.045
Cs Ga Pt
2 2 1
Cartesian
5.923 2.902 7.022 Cs
1.360 2.517 5.352 Cs
7.617 4.246 10.069 Ga
-0.334 1.173 2.305 Ga
0.000 0.000 0.000 Pt
```

[2]
DFT (PBE) results for KCaCuCl5 after structural relaxation.

## Properties
Magnetization, Bohr magnetons per cell: 2.137
E_tot, eV/atom: -3.603
Crystal system: monoclinic

POSCAR file:
```
KCaCuCl5
1.0
-6.841 2.372 1.652
1.886 -5.926 4.060
5.714 7.124 3.844
K Ca Cu Cl
2 2 2 10
Cartesian
0.426 -1.398 4.224 K
0.333 4.969 5.332 K
2.857 3.562 1.922 Ca
0.000 0.000 0.000 Ca
-2.555 1.436 3.402 Cu
3.314 2.134 6.155 Cu
2.610 -3.475 4.826 Cl
-1.851 7.045 4.730 Cl
-4.781 1.085 3.034 Cl
5.540 2.485 6.522 Cl
-2.342 3.702 3.214 Cl
3.102 -0.132 6.342 Cl
-1.234 1.148 5.224 Cl
1.993 2.423 4.332 Cl
-1.757 -0.290 2.164 Cl
2.516 3.860 7.393 Cl
```

Look up the magnetization of the second one. 2.137 Bohr magnetons per cell